Entry from the Alexandria database: Ga3PtBr after structural relaxation (PBEsol).

Values from the calculation:
- total magnetic moment (μB per atom) = 0.000
- DFT total energy (eV per atom) = -4.29

The structure in CIF format:
```
data_Ga3PtBr
_chemical_formula_sum 'Ga3 Pt1 Br1'
_cell_length_a 4.8172
_cell_length_b 4.8172
_cell_length_c 4.8172
_cell_angle_alpha 90.00
_cell_angle_beta 90.00
_cell_angle_gamma 90.00
_symmetry_space_group_name_H-M 'P m -3 m'
_symmetry_Int_Tables_number 221
_symmetry_space_group_name_Hall '-P 4 2 3'
loop_
_atom_site_label
_atom_site_fract_x
_atom_site_fract_y
_atom_site_fract_z
Ga1 0.0000 0.0000 0.5000
Pt1 0.0000 0.0000 0.0000
Br1 0.5000 0.5000 0.5000
```


Entry from the Alexandria database: NaErMo2O8 after structural relaxation (PBEsol).

Values from the calculation:
- total magnetic moment (μB per atom) = 0.000
- DFT total energy (eV per atom) = -8.43

The structure in CIF format:
```
data_NaErMo2O8
_chemical_formula_sum 'Na2 Er2 Mo4 O16'
_cell_length_a 5.1319
_cell_length_b 5.1319
_cell_length_c 11.1207
_cell_angle_alpha 90.00
_cell_angle_beta 90.00
_cell_angle_gamma 90.00
_symmetry_space_group_name_H-M 'I -4'
_symmetry_Int_Tables_number 82
loop_
_symmetry_equiv_pos_as_xyz
'x,y,z'
'y,-x,-z'
'-x,-y,z'
'-y,x,-z'
'x+1/2,y+1/2,z+1/2'
'y+1/2,-x+1/2,-z+1/2'
'-x+1/2,-y+1/2,z+1/2'
'-y+1/2,x+1/2,-z+1/2'
loop_
_atom_site_label
_atom_site_fract_x
_atom_site_fract_y
_atom_site_fract_z
Na1 0.0000 0.0000 0.0000
Er1 0.0000 0.5000 0.7500
Mo1 0.0000 0.0000 0.5000
Mo2 0.0000 0.5000 0.2500
O1 0.1471 0.2447 0.5904
O2 0.1657 0.7460 0.1678
```


Entry from the Alexandria database: Cs2RbSb2 after structural relaxation (PBEsol).

Values from the calculation:
- total magnetic moment (μB per atom) = 0.186
- DFT total energy (eV per atom) = -2.74

The structure in CIF format:
```
data_Cs2RbSb2
_chemical_formula_sum 'Cs4 Rb2 Sb4'
_cell_length_a 9.1692
_cell_length_b 9.1692
_cell_length_c 5.7789
_cell_angle_alpha 90.00
_cell_angle_beta 90.00
_cell_angle_gamma 90.00
_symmetry_space_group_name_H-M 'P 4/m b m'
_symmetry_Int_Tables_number 127
_symmetry_space_group_name_Hall '-P 4 2ab'
loop_
_atom_site_label
_atom_site_fract_x
_atom_site_fract_y
_atom_site_fract_z
Cs1 0.1681 0.3319 0.0000
Rb1 0.0000 0.0000 0.5000
Sb1 0.1079 0.6079 0.5000
```


V, respectively: 112 293 486 Å³/cell.
N(E_F), respectively: 0.1 0.0 5.7 states/eV/f.u..